# 1
A plane-wave DFT calculation with PBE-GGA was carried out for Th4NiSb2 after structural relaxation.

Cell and atoms, written as extended XYZ:
```
7
Lattice="4.157 0.000 0.000 0.000 7.141 -0.047 -2.078 -3.528 7.328" Properties=species:S:1:pos:R:3 pbc="T T T"
Th 2.078 -1.168 5.771
Th 0.000 4.781 1.511
Th 2.078 1.189 1.541
Th 0.000 2.425 5.740
Ni 0.000 0.000 0.000
Sb 2.078 3.607 3.606
Sb 0.000 0.007 3.675
```

Results
E: -6.663 eV/atom
Fermi-level density of states: 8.97 states/eV per cell
Crystal system: monoclinic
E_form (uncorrected): -9.7 kcal/mol of atoms

# 2
A plane-wave DFT calculation with PBE-GGA was carried out for GaSiH3 after structural relaxation.

Cell and atoms, written as extended XYZ:
```
5
Lattice="3.662 0.000 0.000 0.000 3.662 0.000 0.000 0.000 3.662" Properties=species:S:1:pos:R:3 pbc="T T T"
H 0.000 1.831 0.000
H 0.000 0.000 1.831
H 1.831 0.000 0.000
Si 1.831 1.831 1.831
Ga 0.000 0.000 0.000
```

Results
E: -2.949 eV/atom
Fermi-level density of states: 1.81 states/eV per cell
Crystal system: cubic
E above lowest polymorph: 281 meV per atom

# 3
A plane-wave DFT calculation with PBE-GGA was carried out for SiIrPb3 after structural relaxation.

Cell and atoms, written as extended XYZ:
```
5
Lattice="5.228 0.000 0.000 0.000 5.228 0.000 0.000 0.000 5.228" Properties=species:S:1:pos:R:3 pbc="T T T"
Pb 0.000 2.614 0.000
Pb 0.000 0.000 2.614
Pb 2.614 0.000 0.000
Si 0.000 0.000 0.000
Ir 2.614 2.614 2.614
```

Results
E: -3.905 eV/atom
Fermi-level density of states: 4.44 states/eV per cell
Crystal system: cubic
E above lowest polymorph: 568 meV per atom
E_form (uncorrected): 27.1 kcal/mol of atoms

# 4
A plane-wave DFT calculation with PBE-GGA was carried out for Y3MgTl after structural relaxation.

Cell and atoms, written as extended XYZ:
```
10
Lattice="3.545 -0.335 -0.372 -2.678 8.916 0.879 -1.086 -2.609 9.253" Properties=species:S:1:pos:R:3 pbc="T T T"
Y 0.028 2.581 6.546
Y 1.090 1.045 0.840
Y 0.116 7.160 3.287
Y -0.247 3.390 3.215
Y -0.335 -1.189 6.473
Y -1.309 4.927 8.920
Mg -1.704 0.890 8.797
Mg 1.484 5.082 0.963
Tl -1.617 5.321 5.616
Tl 1.398 0.650 4.144
```

Results
E: -4.825 eV/atom
Fermi-level density of states: 14.14 states/eV per cell
Energy of formation from the pure elements: -0.155 eV/atom
Crystal system: triclinic
E above lowest polymorph: 55 meV per atom

# 5
A plane-wave DFT calculation with PBE-GGA was carried out for V2FeHOs after structural relaxation.

Cell and atoms, written as extended XYZ:
```
5
Lattice="-0.449 -1.363 3.528 3.524 -1.440 -0.108 1.341 3.176 1.397" Properties=species:S:1:pos:R:3 pbc="T T T"
H 0.000 0.000 0.000
Os 0.670 1.588 0.699
Fe 2.208 0.187 2.409
V 1.762 -0.720 -0.054
V -0.224 -0.681 1.764
```

Results
E: -8.256 eV/atom
Fermi-level density of states: 5.69 states/eV per cell
Crystal system: tetragonal
E above lowest polymorph: 125 meV per atom

# 6
A plane-wave DFT calculation with PBE-GGA was carried out for Ca3ScB after structural relaxation.

Cell and atoms, written as extended XYZ:
```
5
Lattice="5.879 0.000 0.000 0.000 5.879 0.000 0.000 0.000 5.879" Properties=species:S:1:pos:R:3 pbc="T T T"
Sc 0.000 0.000 0.000
Ca 0.000 2.940 0.000
Ca 0.000 0.000 2.940
Ca 2.940 0.000 0.000
B 2.940 2.940 2.940
```

Results
E: -2.145 eV/atom
Fermi-level density of states: 6.25 states/eV per cell
Energy of formation from the pure elements: 1.657 eV/atom
Crystal system: cubic
E above lowest polymorph: 1215 meV per atom

# 7
A plane-wave DFT calculation with PBE-GGA was carried out for Ac2DyF11 after structural relaxation.

Cell and atoms, written as extended XYZ:
```
28
Lattice="-4.789 7.760 -0.114 -2.938 3.429 -7.919 -9.112 -0.263 0.078" Properties=species:S:1:pos:R:3 pbc="T T T"
Ac -8.065 7.525 -5.537
Ac -8.775 3.401 -2.418
Ac -11.878 6.857 -1.556
Ac -4.961 4.069 -6.399
Dy -12.630 8.194 -5.966
Dy -4.210 2.731 -1.989
F -10.495 7.524 -5.569
F -6.344 3.402 -2.386
F -8.291 2.171 -4.457
F -13.961 9.345 -7.404
F -8.549 8.755 -3.498
F -2.878 1.580 -0.551
F -12.982 5.978 -6.321
F -3.857 4.948 -1.634
F -8.420 5.463 -3.977
F 0.000 0.000 0.000
F -8.355 9.735 -6.578
F -8.484 1.191 -1.377
F -10.020 5.584 -2.546
F -6.819 5.341 -5.409
F -7.938 6.719 -7.830
F -8.901 4.207 -0.125
F -11.131 2.796 -2.497
F -5.493 0.933 -1.381
F -5.709 8.130 -5.457
F -11.346 9.993 -6.574
F -4.328 3.644 -4.088
F -12.512 7.282 -3.867
```

Results
E: -5.854 eV/atom
Fermi-level density of states: 22.86 states/eV per cell
Crystal system: orthorhombic
E_form (uncorrected): -80.0 kcal/mol of atoms

# 8
A plane-wave DFT calculation with PBE-GGA was carried out for Pr3Si2Ni9 after structural relaxation.

Cell and atoms, written as extended XYZ:
```
14
Lattice="-2.439 0.793 -2.966 1.713 -5.473 -5.463 -5.708 -5.454 0.643" Properties=species:S:1:pos:R:3 pbc="T T T"
Pr 0.000 0.000 0.000
Pr -2.918 -2.820 -3.538
Pr -3.515 -7.315 -4.248
Si -4.953 -5.063 -2.465
Si -1.481 -5.072 -5.321
Ni -1.998 -5.464 -2.410
Ni -3.492 -8.283 -7.118
Ni -2.942 -1.852 -0.668
Ni -6.339 -8.275 -4.776
Ni -0.095 -1.859 -3.010
Ni -2.979 -5.895 -6.901
Ni -3.454 -4.240 -0.885
Ni -6.217 -5.886 -4.237
Ni -0.217 -4.248 -3.549
```

Results
E: -5.913 eV/atom
Fermi-level density of states: 8.51 states/eV per cell
Crystal system: orthorhombic
E_form (uncorrected): -9.2 kcal/mol of atoms

- Among the records above, which one has the highest E?
  Ca3ScB

- What is the formula in the seventh record?
  Ac2DyF11